[1]
# Cd2BMo

A geometry-optimized Cd2BMo structure (GGA-PBE, the Alexandria database).

Formation enthalpy at 0 K = 3.5 eV/f.u.
DFT total energy = -63.3 eV for the cell shown

The structure in CIF format:
```
data_Cd2BMo
_space_group_name_H-M_alt 'I -4 2 d'
_space_group_IT_number 122
_space_group_name_Hall 'I -4 2bw'
_cell_length_a 7.6690
_cell_length_b 7.6690
_cell_length_c 4.6341
_cell_angle_alpha 90.00
_cell_angle_beta 90.00
_cell_angle_gamma 90.00
loop_
_atom_site_label
_atom_site_fract_x
_atom_site_fract_y
_atom_site_fract_z
Cd1 0.1629 0.2500 0.1250
B1 0.0000 0.0000 0.0000
Mo1 0.0000 0.0000 0.5000
```

---

[2]
# PmZr2Si4

A geometry-optimized PmZr2Si4 structure (GGA-PBE, the Alexandria database).

Raw formation energy = -0.752 eV per atom
DFT total energy = -97.6 eV for the cell shown

The structure in CIF format:
```
data_PmZr2Si4
_space_group_name_H-M_alt 'I m m m'
_space_group_IT_number 71
_space_group_name_Hall '-I 2 2'
_cell_length_a 3.8960
_cell_length_b 3.9626
_cell_length_c 16.9247
_cell_angle_alpha 90.00
_cell_angle_beta 90.00
_cell_angle_gamma 90.00
loop_
_atom_site_label
_atom_site_fract_x
_atom_site_fract_y
_atom_site_fract_z
Pm1 0.0000 0.0000 0.0000
Zr1 0.0000 0.5000 0.3145
Si1 0.0000 0.0000 0.4298
Si2 0.0000 0.5000 0.1542
```

---

[3]
# Pm5Cu

A geometry-optimized Pm5Cu structure (GGA-PBE, the Alexandria database).

Formation enthalpy at 0 K = 0.7 eV/f.u.
DFT total energy = -54.2 eV for the cell shown

The structure in CIF format:
```
data_Pm5Cu
_space_group_name_H-M_alt 'C m m m'
_space_group_IT_number 65
_space_group_name_Hall '-C 2 2'
_cell_length_a 4.7354
_cell_length_b 15.2734
_cell_length_c 5.0180
_cell_angle_alpha 90.00
_cell_angle_beta 90.00
_cell_angle_gamma 90.00
loop_
_atom_site_label
_atom_site_fract_x
_atom_site_fract_y
_atom_site_fract_z
Pm1 0.0000 0.0000 0.0000
Pm2 0.0000 0.1572 0.5000
Pm3 0.0000 0.3314 0.0000
Cu1 0.0000 0.5000 0.5000
```

---

[4]
# NaYTe2

A geometry-optimized NaYTe2 structure (GGA-PBE, the Alexandria database).

Raw formation energy = -1.308 eV per atom
DFT total energy = -57.9 eV for the cell shown

The structure in CIF format:
```
data_NaYTe2
_space_group_name_H-M_alt 'R 3 m'
_space_group_IT_number 160
_space_group_name_Hall 'R 3 -2"'
_cell_length_a 4.3981
_cell_length_b 4.3981
_cell_length_c 23.5007
_cell_angle_alpha 90.00
_cell_angle_beta 90.00
_cell_angle_gamma 120.00
loop_
_atom_site_label
_atom_site_fract_x
_atom_site_fract_y
_atom_site_fract_z
Na1 0.0000 0.0000 0.0000
Y1 0.0000 0.0000 0.8311
Te1 0.0000 0.0000 0.2403
Te2 0.0000 0.0000 0.4222
```

---

[5]
# Li3Pm

A geometry-optimized Li3Pm structure (GGA-PBE, the Alexandria database).

Formation enthalpy at 0 K = 0.8 eV/f.u.
DFT total energy = -19.5 eV for the cell shown

The structure in CIF format:
```
data_Li3Pm
_space_group_name_H-M_alt 'I 4/m m m'
_space_group_IT_number 139
_space_group_name_Hall '-I 4 2'
_cell_length_a 4.5368
_cell_length_b 4.5368
_cell_length_c 9.2908
_cell_angle_alpha 90.00
_cell_angle_beta 90.00
_cell_angle_gamma 90.00
loop_
_atom_site_label
_atom_site_fract_x
_atom_site_fract_y
_atom_site_fract_z
Li1 0.0000 0.0000 0.0000
Li2 0.0000 0.5000 0.2500
Pm1 0.0000 0.0000 0.5000
```

---

[6]
# TbPrSi

A geometry-optimized TbPrSi structure (GGA-PBE, the Alexandria database).

Raw formation energy = -0.372 eV per atom
DFT total energy = -63.8 eV for the cell shown

The structure in CIF format:
```
data_TbPrSi
_space_group_name_H-M_alt 'C m c m'
_space_group_IT_number 63
_space_group_name_Hall '-C 2c 2'
_cell_length_a 5.3518
_cell_length_b 8.7873
_cell_length_c 6.5686
_cell_angle_alpha 90.00
_cell_angle_beta 90.00
_cell_angle_gamma 90.00
loop_
_atom_site_label
_atom_site_fract_x
_atom_site_fract_y
_atom_site_fract_z
Tb1 0.0000 0.0000 0.0000
Pr1 0.0000 0.3371 0.2500
Si1 0.0000 0.3237 0.7500
```

---

[7]
# HfScZn5

A geometry-optimized HfScZn5 structure (GGA-PBE, the Alexandria database).

Formation enthalpy at 0 K = 0.0 eV/f.u.
DFT total energy = -22.7 eV for the cell shown

The structure in CIF format:
```
data_HfScZn5
_space_group_name_H-M_alt 'P 4/m m m'
_space_group_IT_number 123
_space_group_name_Hall '-P 4 2'
_cell_length_a 4.5830
_cell_length_b 4.5830
_cell_length_c 6.0999
_cell_angle_alpha 90.00
_cell_angle_beta 90.00
_cell_angle_gamma 90.00
loop_
_atom_site_label
_atom_site_fract_x
_atom_site_fract_y
_atom_site_fract_z
Hf1 0.0000 0.0000 0.0000
Sc1 0.5000 0.5000 0.5000
Zn1 0.0000 0.0000 0.5000
Zn2 0.0000 0.5000 0.2347
```

---

[8]
# CsSb6S8

A geometry-optimized CsSb6S8 structure (GGA-PBE, the Alexandria database).

Raw formation energy = -0.220 eV per atom
DFT total energy = -185.7 eV for the cell shown

The structure in CIF format:
```
data_CsSb6S8
_space_group_name_H-M_alt 'R -3'
_space_group_IT_number 148
_space_group_name_Hall '-R 3'
_cell_length_a 11.7583
_cell_length_b 11.7583
_cell_length_c 13.7861
_cell_angle_alpha 90.00
_cell_angle_beta 90.00
_cell_angle_gamma 120.00
loop_
_atom_site_label
_atom_site_fract_x
_atom_site_fract_y
_atom_site_fract_z
Cs1 0.0000 0.0000 0.0000
Sb1 0.0271 0.1881 0.3939
S1 0.0000 0.0000 0.2739
S2 0.0221 0.7297 0.4036
```

---

[9]
# LiEuYAg

A geometry-optimized LiEuYAg structure (GGA-PBE, the Alexandria database).

Formation enthalpy at 0 K = -0.3 eV/f.u.
DFT total energy = -87.3 eV for the cell shown

The structure in CIF format:
```
data_LiEuYAg
_space_group_name_H-M_alt 'F -4 3 m'
_space_group_IT_number 216
_space_group_name_Hall 'F -4 2 3'
_cell_length_a 7.4968
_cell_length_b 7.4968
_cell_length_c 7.4968
_cell_angle_alpha 90.00
_cell_angle_beta 90.00
_cell_angle_gamma 90.00
loop_
_atom_site_label
_atom_site_fract_x
_atom_site_fract_y
_atom_site_fract_z
Li1 0.0000 0.0000 0.0000
Eu1 0.2500 0.2500 0.2500
Y1 0.2500 0.2500 0.7500
Ag1 0.0000 0.0000 0.5000
```

---

[10]
# ZnSbTe2Ir

A geometry-optimized ZnSbTe2Ir structure (GGA-PBE, the Alexandria database).

Raw formation energy = 0.547 eV per atom
DFT total energy = -17.8 eV for the cell shown

The structure in CIF format:
```
data_ZnSbTe2Ir
_space_group_name_H-M_alt 'P 4/m m m'
_space_group_IT_number 123
_space_group_name_Hall '-P 4 2'
_cell_length_a 5.4777
_cell_length_b 5.4777
_cell_length_c 4.9472
_cell_angle_alpha 90.00
_cell_angle_beta 90.00
_cell_angle_gamma 90.00
loop_
_atom_site_label
_atom_site_fract_x
_atom_site_fract_y
_atom_site_fract_z
Zn1 0.0000 0.0000 0.0000
Sb1 0.5000 0.5000 0.0000
Te1 0.0000 0.5000 0.5000
Ir1 0.5000 0.5000 0.5000
```

---

[11]
# CoPBr2

A geometry-optimized CoPBr2 structure (GGA-PBE, the Alexandria database).

Raw formation energy = 0.240 eV per atom
DFT total energy = -29.8 eV for the cell shown

The structure in CIF format:
```
data_CoPBr2
_space_group_name_H-M_alt 'C m m 2'
_space_group_IT_number 35
_space_group_name_Hall 'C 2 -2'
_cell_length_a 3.3857
_cell_length_b 7.0529
_cell_length_c 8.8555
_cell_angle_alpha 90.00
_cell_angle_beta 90.00
_cell_angle_gamma 90.00
loop_
_atom_site_label
_atom_site_fract_x
_atom_site_fract_y
_atom_site_fract_z
Co1 0.0000 0.0000 0.0000
P1 0.0000 0.5000 0.8573
Br1 0.0000 0.0000 0.6149
Br2 0.0000 0.5000 0.1929
```

---

[12]
# ThCuTe

A geometry-optimized ThCuTe structure (GGA-PBE, the Alexandria database).

Raw formation energy = -0.482 eV per atom
DFT total energy = -16.1 eV for the cell shown

The structure in CIF format:
```
data_ThCuTe
_space_group_name_H-M_alt 'P 3 m 1'
_space_group_IT_number 156
_space_group_name_Hall 'P 3 -2"'
_cell_length_a 4.5438
_cell_length_b 4.5438
_cell_length_c 4.0599
_cell_angle_alpha 90.00
_cell_angle_beta 90.00
_cell_angle_gamma 120.00
loop_
_atom_site_label
_atom_site_fract_x
_atom_site_fract_y
_atom_site_fract_z
Th1 0.0000 0.0000 0.0000
Cu1 0.3333 0.6667 0.6498
Te1 0.6667 0.3333 0.4887
```

---

Question: The highest DFT total energy belongs to which entry?
Answer: ThCuTe